A plane-wave DFT calculation with PBE was carried out for an optimized crystal structure of AcZnSnPd3.

Formation energy from the elements   -0.48 eV per atom
Total moment   0.000 μB/atom

a = 6.622 Å, b = 15.341 Å, c = 5.835 Å
α = 90.00°, β = 90.00°, γ = 90.00°
Space group Cmcm (No. 63)
Asymmetric unit:
Ac 0.000 0.210 0.250 (multiplicity 4)
Zn 0.000 0.104 0.750 (multiplicity 4)
Sn 0.000 0.435 0.750 (multiplicity 4)
Pd 0.000 0.265 0.750 (multiplicity 4)
Pd 0.205 0.000 0.000 (multiplicity 8)


A plane-wave DFT calculation with PBE was carried out for an optimized crystal structure of Sc2PaIn.

Formation energy from the elements   -0.18 eV per atom
E above lowest polymorph   0 meV per atom
Total moment   0.113 μB/atom

a = 3.266 Å, b = 3.266 Å, c = 8.862 Å
α = 90.00°, β = 90.00°, γ = 90.00°
Space group P4/mmm (No. 123)
Asymmetric unit:
Sc 0.000 0.000 0.239 (multiplicity 2)
Pa 0.500 0.500 0.500 (multiplicity 1)
In 0.500 0.500 0.000 (multiplicity 1)


A plane-wave DFT calculation with PBE was carried out for an optimized crystal structure of Ca3SiMo.

E above lowest polymorph   0 meV per atom
Total moment   1.140 μB/atom
Formation energy from raw total energies   689 meV/atom

a = 5.635 Å, b = 5.635 Å, c = 5.635 Å
α = 90.00°, β = 90.00°, γ = 90.00°
Space group Pm-3m (No. 221)
Asymmetric unit:
Ca 0.000 0.000 0.500 (multiplicity 3)
Si 0.000 0.000 0.000 (multiplicity 1)
Mo 0.500 0.500 0.500 (multiplicity 1)


A plane-wave DFT calculation with PBE was carried out for an optimized crystal structure of VGeSb2Te.

E above lowest polymorph   0 meV per atom
Total moment   0.309 μB/atom
Formation energy from raw total energies   481 meV/atom

a = 5.145 Å, b = 5.145 Å, c = 5.203 Å
α = 90.00°, β = 90.00°, γ = 90.00°
Space group P4/mmm (No. 123)
Asymmetric unit:
V 0.000 0.000 0.000 (multiplicity 1)
Ge 0.500 0.500 0.500 (multiplicity 1)
Sb 0.000 0.500 0.000 (multiplicity 2)
Te 0.000 0.000 0.500 (multiplicity 1)


A plane-wave DFT calculation with PBE was carried out for an optimized crystal structure of Tb5CeNdEr2.

Formation energy from the elements   0.17 eV per atom
Total moment   0.090 μB/atom

a = 5.708 Å, b = 21.490 Å, c = 9.609 Å
α = 90.00°, β = 90.00°, γ = 90.00°
Space group Cmc2_1 (No. 36)
Asymmetric unit:
Tb 0.000 0.013 0.000 (multiplicity 4)
Tb 0.000 0.267 0.318 (multiplicity 4)
Tb 0.000 0.306 0.700 (multiplicity 4)
Tb 0.000 0.393 0.025 (multiplicity 4)
Tb 0.000 0.471 0.731 (multiplicity 4)
Ce 0.000 0.194 0.009 (multiplicity 4)
Nd 0.000 0.403 0.408 (multiplicity 4)
Er 0.000 0.113 0.308 (multiplicity 4)
Er 0.000 0.136 0.691 (multiplicity 4)


A plane-wave DFT calculation with PBE was carried out for an optimized crystal structure of CaP2BrO.

E above lowest polymorph   0 meV per atom
Total moment   0.227 μB/atom
Formation energy from raw total energies   411 meV/atom

a = 4.861 Å, b = 4.861 Å, c = 4.287 Å
α = 90.00°, β = 90.00°, γ = 90.00°
Space group P4/mmm (No. 123)
Asymmetric unit:
Ca 0.000 0.000 0.000 (multiplicity 1)
P 0.000 0.500 0.500 (multiplicity 2)
Br 0.500 0.500 0.500 (multiplicity 1)
O 0.500 0.500 0.000 (multiplicity 1)


A plane-wave DFT calculation with PBE was carried out for an optimized crystal structure of AsOs2Rh.

Formation energy from the elements   0.43 eV per atom
Total moment   0.000 μB/atom

a = 3.998 Å, b = 3.998 Å, c = 7.265 Å
α = 90.00°, β = 90.00°, γ = 90.00°
Space group I4/mmm (No. 139)
Asymmetric unit:
As 0.000 0.000 0.000 (multiplicity 2)
Os 0.000 0.500 0.250 (multiplicity 4)
Rh 0.000 0.000 0.500 (multiplicity 2)


A plane-wave DFT calculation with PBE was carried out for an optimized crystal structure of K2Sc2GeO6.

Total moment   0.000 μB/atom
Formation energy from raw total energies   -2478 meV/atom

a = 5.425 Å, b = 9.337 Å, c = 6.547 Å
α = 90.00°, β = 105.94°, γ = 90.00°
Space group C2/m (No. 12)
Asymmetric unit:
K 0.000 0.167 0.000 (multiplicity 4)
Sc 0.000 0.334 0.500 (multiplicity 4)
Ge 0.000 0.000 0.500 (multiplicity 2)
O 0.209 0.157 0.667 (multiplicity 8)
O 0.249 0.000 0.336 (multiplicity 4)


A plane-wave DFT calculation with PBE was carried out for an optimized crystal structure of SrCa2Co.

Formation energy from the elements   0.34 eV per atom
E above lowest polymorph   90 meV per atom
Total moment   0.206 μB/atom

a = 3.9435 Å, b = 3.9435 Å, c = 31.3655 Å
α = 90.00°, β = 90.00°, γ = 120.00°
Space group R3m (No. 160, hexagonal axes)
Asymmetric unit:
Sr 0.0000 0.0000 0.0000 (multiplicity 3)
Ca 0.0000 0.0000 0.5522 (multiplicity 3)
Ca 0.0000 0.0000 0.7794 (multiplicity 3)
Co 0.0000 0.0000 0.2731 (multiplicity 3)


A plane-wave DFT calculation with PBE was carried out for an optimized crystal structure of Tb3Ge3Ru.

Formation energy from the elements   -0.82 eV per atom
Total moment   0.000 μB/atom

a = 10.830 Å, b = 4.292 Å, c = 13.931 Å
α = 90.00°, β = 110.65°, γ = 90.00°
Space group C2/m (No. 12)
Asymmetric unit:
Tb 0.023 0.000 0.377 (multiplicity 4)
Tb 0.099 0.000 0.920 (multiplicity 4)
Tb 0.243 0.000 0.230 (multiplicity 4)
Ge 0.046 0.500 0.239 (multiplicity 4)
Ge 0.123 0.500 0.074 (multiplicity 4)
Ge 0.137 0.500 0.545 (multiplicity 4)
Ru 0.246 0.500 0.413 (multiplicity 4)


A plane-wave DFT calculation with PBE was carried out for an optimized crystal structure of CaNbV2Te.

Total moment   0.693 μB/atom
Formation energy from raw total energies   698 meV/atom

a = 4.741 Å, b = 4.741 Å, c = 5.542 Å
α = 90.00°, β = 90.00°, γ = 90.00°
Space group P4/mmm (No. 123)
Asymmetric unit:
Ca 0.000 0.000 0.000 (multiplicity 1)
Nb 0.500 0.500 0.500 (multiplicity 1)
V 0.000 0.500 0.500 (multiplicity 2)
Te 0.500 0.500 0.000 (multiplicity 1)


A plane-wave DFT calculation with PBE was carried out for an optimized crystal structure of LaUAs.

Formation energy from the elements   -0.67 eV per atom
Total moment   0.510 μB/atom

a = 21.339 Å, b = 3.962 Å, c = 3.980 Å
α = 90.00°, β = 90.08°, γ = 90.00°
Space group C2/m (No. 12)
Asymmetric unit:
La 0.092 0.000 0.251 (multiplicity 4)
U 0.250 0.000 0.746 (multiplicity 4)
As 0.144 0.500 0.752 (multiplicity 4)